--- 1 ---
NbSb2TeRh: relaxed, PBE-GGA.

## Properties
Symmetry ... No. 123

Unit cell a=5.2986 b=5.2986 c=5.2738 alpha=90.00 beta=90.00 gamma=90.00
Atoms (fractional coordinates):
Nb1 0.0000 0.0000 0.0000
Sb1 0.0000 0.5000 0.0000
Sb2 0.5000 0.0000 0.0000
Te1 0.0000 0.0000 0.5000
Rh1 0.5000 0.5000 0.5000

=====

--- 2 ---
NbSb2TeRh: relaxed, PBE-GGA.

## Properties
Symmetry ... No. 123

Unit cell a=5.0162 b=5.0162 c=5.3682 alpha=90.00 beta=90.00 gamma=90.00
Atoms (fractional coordinates):
Nb1 0.0000 0.0000 0.0000
Sb1 0.0000 0.5000 0.5000
Sb2 0.5000 0.0000 0.5000
Te1 0.5000 0.5000 0.0000
Rh1 0.5000 0.5000 0.5000

=====

Stability ranking, top entry: 2; the second entry is 0.132 eV/atom less favorable.

=====

--- 1 ---
ScNb2Rh: relaxed, PBE-GGA.

## Properties
Symmetry ... No. 225

Unit cell a=4.6154 b=4.6154 c=4.6154 alpha=60.00 beta=60.00 gamma=60.00
Atoms (fractional coordinates):
Sc1 0.0000 0.0000 0.0000
Nb1 0.2500 0.2500 0.2500
Nb2 0.7500 0.7500 0.7500
Rh1 0.5000 0.5000 0.5000

=====

--- 2 ---
ScNb2Rh: relaxed, PBE-GGA.

## Properties
Symmetry ... No. 122

Unit cell a=6.0286 b=6.0286 c=6.0286 alpha=101.29 beta=101.29 gamma=127.47
Atoms (fractional coordinates):
Sc1 0.0000 0.0000 0.0000
Sc2 0.7500 0.2500 0.5000
Nb1 0.1644 0.6250 0.0394
Nb2 0.3750 0.4144 0.5394
Nb3 0.5856 0.1250 0.9606
Nb4 0.8750 0.8356 0.4606
Rh1 0.2500 0.7500 0.5000
Rh2 0.5000 0.5000 0.0000

=====

Stability ranking, top entry: 1; the second entry is 0.154 eV/atom less favorable.

=====

--- 1 ---
Sc2NbRh2: relaxed, PBE-GGA.

## Properties
Symmetry ... No. 127

Unit cell a=6.6846 b=6.6846 c=4.2071 alpha=90.00 beta=90.00 gamma=90.00
Atoms (fractional coordinates):
Sc1 0.1714 0.3286 0.0000
Sc2 0.3286 0.8286 0.0000
Sc3 0.6714 0.1714 0.0000
Sc4 0.8286 0.6714 0.0000
Nb1 0.0000 0.0000 0.5000
Nb2 0.5000 0.5000 0.5000
Rh1 0.1413 0.6413 0.5000
Rh2 0.3587 0.1413 0.5000
Rh3 0.6413 0.8587 0.5000
Rh4 0.8587 0.3587 0.5000

=====

--- 2 ---
Sc2NbRh2: relaxed, PBE-GGA.

## Properties
Symmetry ... No. 127

Unit cell a=7.7007 b=7.7007 c=2.9738 alpha=90.00 beta=90.00 gamma=90.00
Atoms (fractional coordinates):
Sc1 0.1415 0.3585 0.0000
Sc2 0.3585 0.8585 0.0000
Sc3 0.6415 0.1415 0.0000
Sc4 0.8585 0.6415 0.0000
Nb1 0.0000 0.0000 0.0000
Nb2 0.5000 0.5000 0.0000
Rh1 0.1601 0.6601 0.5000
Rh2 0.3399 0.1601 0.5000
Rh3 0.6601 0.8399 0.5000
Rh4 0.8399 0.3399 0.5000

=====

Stability ranking, top entry: 1; the second entry is 0.149 eV/atom less favorable.

=====

--- 1 ---
Sc3NbRh: relaxed, PBE-GGA.

## Properties
Symmetry ... No. 221

Unit cell a=4.8922 b=4.8922 c=4.8922 alpha=90.00 beta=90.00 gamma=90.00
Atoms (fractional coordinates):
Sc1 0.0000 0.0000 0.5000
Sc2 0.0000 0.5000 0.0000
Sc3 0.5000 0.0000 0.0000
Nb1 0.0000 0.0000 0.0000
Rh1 0.5000 0.5000 0.5000

=====

--- 2 ---
Sc3NbRh: relaxed, PBE-GGA.

## Properties
Symmetry ... No. 221

Unit cell a=4.9333 b=4.9333 c=4.9333 alpha=90.00 beta=90.00 gamma=90.00
Atoms (fractional coordinates):
Sc1 0.0000 0.0000 0.5000
Sc2 0.0000 0.5000 0.0000
Sc3 0.5000 0.0000 0.0000
Nb1 0.5000 0.5000 0.5000
Rh1 0.0000 0.0000 0.0000

=====

Stability ranking, top entry: 2; the second entry is 0.552 eV/atom less favorable.

=====

--- 1 ---
Nb2RhSe5: relaxed, PBE-GGA.

## Properties
Symmetry ... No. 63

Unit cell a=7.0375 b=7.0375 c=11.3234 alpha=90.00 beta=90.00 gamma=137.59
Atoms (fractional coordinates):
Nb1 0.1782 0.8218 0.5284
Nb2 0.1782 0.8218 0.9716
Nb3 0.8218 0.1782 0.0284
Nb4 0.8218 0.1782 0.4716
Rh1 0.2043 0.7957 0.2500
Rh2 0.7957 0.2043 0.7500
Se1 0.0426 0.9574 0.1181
Se2 0.0426 0.9574 0.3819
Se3 0.2553 0.7447 0.7500
Se4 0.3412 0.6588 0.0924
Se5 0.3412 0.6588 0.4076
Se6 0.6588 0.3412 0.5924
Se7 0.6588 0.3412 0.9076
Se8 0.7447 0.2553 0.2500
Se9 0.9574 0.0426 0.6181
Se10 0.9574 0.0426 0.8819

=====

--- 2 ---
Nb2RhSe5: relaxed, PBE-GGA.

## Properties
Symmetry ... No. 69

Unit cell a=9.3339 b=7.1427 c=6.8610 alpha=83.57 beta=49.50 gamma=46.92
Atoms (fractional coordinates):
Nb1 0.1888 0.1888 0.8112
Nb2 0.8112 0.8112 0.1888
Rh1 0.5000 0.5000 0.5000
Se1 0.0000 0.0000 0.0000
Se2 0.2208 0.4679 0.5321
Se3 0.4679 0.2208 0.7792
Se4 0.5321 0.7792 0.2208
Se5 0.7792 0.5321 0.4679

=====

Stability ranking, top entry: 1; the second entry is 0.037 eV/atom less favorable.

=====

--- 1 ---
NbRhSe3: relaxed, PBE-GGA.

## Properties
Symmetry ... No. 11

Unit cell a=7.2795 b=3.5309 c=9.2106 alpha=90.00 beta=107.17 gamma=90.00
Atoms (fractional coordinates):
Nb1 0.2271 0.2500 0.4860
Nb2 0.7729 0.7500 0.5140
Rh1 0.3715 0.2500 0.8168
Rh2 0.6285 0.7500 0.1832
Se1 0.0208 0.2500 0.6761
Se2 0.3132 0.7500 0.9818
Se3 0.4073 0.7500 0.3546
Se4 0.5927 0.2500 0.6454
Se5 0.6868 0.2500 0.0182
Se6 0.9792 0.7500 0.3239

=====

--- 2 ---
NbRhSe3: relaxed, PBE-GGA.

## Properties
Symmetry ... No. 221

Unit cell a=5.0071 b=5.0071 c=5.0071 alpha=90.00 beta=90.00 gamma=90.00
Atoms (fractional coordinates):
Nb1 0.0000 0.0000 0.0000
Rh1 0.5000 0.5000 0.5000
Se1 0.0000 0.0000 0.5000
Se2 0.0000 0.5000 0.0000
Se3 0.5000 0.0000 0.0000

=====

Stability ranking, top entry: 1; the second entry is 0.886 eV/atom less favorable.